Record 1
Density functional theory data (PBE) for BaInCo4 after structural relaxation.

Output
- calculated formation energy (eV per atom) = 0.41
- calculated density (Mg/m³) = 8.02
- Fermi-level density of states (states/eV per cell) = 39.95
- total DFT energy (no corrections) (Ha/atom) = -0.1875

Lattice parameters (Å, degrees): 7.3934 7.3934 7.3934 90.00 90.00 90.00
Space group F-43m (No. 216)
One atom of each set of equivalent atoms:
Ba: 0.0000 0.0000 0.0000 [4 per cell]
In: 0.2500 0.2500 0.2500 [4 per cell]
Co: 0.1224 0.1224 0.6224 [16 per cell]

Record 2
Density functional theory data (PBE) for Ba2In2Co after structural relaxation.

Output
- calculated formation energy (eV per atom) = 0.12
- calculated density (Mg/m³) = 5.97
- Fermi-level density of states (states/eV per cell) = 18.65
- total DFT energy (no corrections) (Ha/atom) = -0.1162

Lattice parameters (Å, degrees): 7.3494 7.3494 5.8001 90.00 90.00 90.00
Space group P4/mbm (No. 127)
One atom of each set of equivalent atoms:
Ba: 0.1692 0.3308 0.0000 [4 per cell]
In: 0.1551 0.6551 0.5000 [4 per cell]
Co: 0.0000 0.0000 0.5000 [2 per cell]